{"formula": "NaCa2ZnN", "functional": "PBE-GGA", "state": "optimized geometry", "space_group": "P4/mmm", "formation_energy_uncorrected_mev_per_atom": -272, "de_polymorph_ev_per_atom": 0.000, "magnetic_moment_mub_per_fu": 0.0, "cell": [[4.841, 0.000, 0.000], [0.000, 4.841, 0.000], [0.000, 0.000, 4.889]], "species": ["Na", "Zn", "Ca", "Ca", "N"], "fractional_positions": [[0.000, 0.000, 0.500], [0.500, 0.500, 0.500], [0.000, 0.500, 0.000], [0.500, 0.000, 0.000], [0.000, 0.000, 0.000]]}

=====

{"formula": "RbCdPbBr5", "functional": "PBE-GGA", "state": "optimized geometry", "space_group": "C2/c", "formation_energy_uncorrected_mev_per_atom": -1110, "magnetic_moment_mub_per_fu": 0.0, "cell": [[8.284, 0.027, -0.063], [-2.393, 7.931, -0.063], [-2.523, -3.408, 10.005]], "species": ["Rb", "Rb", "Cd", "Cd", "Pb", "Pb", "Br", "Br", "Br", "Br", "Br", "Br", "Br", "Br", "Br", "Br"], "fractional_positions": [[0.347, 0.653, 0.250], [0.653, 0.347, 0.750], [0.684, 0.316, 0.250], [0.316, 0.684, 0.750], [0.000, 0.000, 0.500], [0.000, 0.000, 0.000], [0.090, 0.910, 0.250], [0.910, 0.090, 0.750], [0.912, 0.331, 0.117], [0.088, 0.669, 0.883], [0.669, 0.088, 0.383], [0.331, 0.912, 0.617], [0.740, 0.615, 0.441], [0.260, 0.385, 0.559], [0.385, 0.260, 0.059], [0.615, 0.740, 0.941]]}

=====

{"formula": "Co2RuCl", "functional": "PBE-GGA", "state": "optimized geometry", "space_group": "I-4m2", "formation_energy_uncorrected_mev_per_atom": 878, "de_polymorph_ev_per_atom": 0.527, "magnetic_moment_mub_per_fu": 5.4, "cell": [[4.909, 0.004, 0.000], [2.248, 4.364, 0.000], [-3.578, -2.184, 2.554]], "species": ["Ru", "Co", "Co", "Cl"], "fractional_positions": [[0.500, 0.500, 0.000], [0.000, 0.000, 0.000], [0.250, 0.750, 0.500], [0.750, 0.250, 0.500]]}

=====

{"formula": "K2PtW", "functional": "PBE-GGA", "state": "optimized geometry", "space_group": "P4/mmm", "de_polymorph_ev_per_atom": 0.467, "e_form_ev_per_fu": 3.966, "magnetic_moment_mub_per_fu": 0.7, "cell": [[-0.047, 1.867, 2.093], [-1.510, -1.781, 1.555], [9.574, -4.457, 4.191]], "species": ["K", "K", "Pt", "W"], "fractional_positions": [[0.000, 0.000, 0.022], [0.000, 0.000, 0.478], [0.500, 0.500, 0.250], [0.500, 0.500, 0.750]]}

=====

{"formula": "Ag2HgPd6", "functional": "PBE-GGA", "state": "optimized geometry", "space_group": "C2/m", "de_polymorph_ev_per_atom": 0.128, "e_form_ev_per_fu": 0.620, "magnetic_moment_mub_per_fu": 0.0, "cell": [[-1.482, -0.244, -2.346], [2.385, -7.430, -0.735], [-5.986, 1.680, 5.381]], "species": ["Ag", "Ag", "Hg", "Pd", "Pd", "Pd", "Pd", "Pd", "Pd"], "fractional_positions": [[0.665, 0.667, 0.334], [0.335, 0.333, 0.666], [0.000, 0.000, 0.000], [0.166, 0.354, 0.334], [0.834, 0.019, 0.666], [0.834, 0.646, 0.666], [0.500, 0.317, 0.000], [0.166, 0.981, 0.334], [0.500, 0.683, 0.000]]}

=====

{"formula": "Pa4Ga16Fe3", "functional": "PBE-GGA", "state": "optimized geometry", "space_group": "P4/mmm", "e_form_ev_per_fu": -8.290, "magnetic_moment_mub_per_fu": 2.0, "cell": [[-1.367, 5.649, -1.844], [0.062, -1.878, -5.800], [-10.764, -2.389, 0.659]], "species": ["Pa", "Pa", "Pa", "Pa", "Ga", "Ga", "Ga", "Ga", "Ga", "Ga", "Ga", "Ga", "Ga", "Ga", "Ga", "Ga", "Ga", "Ga", "Ga", "Ga", "Fe", "Fe", "Fe"], "fractional_positions": [[0.500, 0.000, 0.803], [0.000, 0.500, 0.197], [0.000, 0.500, 0.803], [0.500, 0.000, 0.197], [0.000, 0.000, 0.778], [0.282, 0.282, 0.000], [0.500, 0.500, 0.802], [0.718, 0.282, 0.000], [0.500, 0.500, 0.198], [0.718, 0.718, 0.000], [0.000, 0.000, 0.222], [0.750, 0.750, 0.614], [0.750, 0.250, 0.386], [0.250, 0.250, 0.614], [0.250, 0.750, 0.386], [0.282, 0.718, 0.000], [0.750, 0.750, 0.386], [0.750, 0.250, 0.614], [0.250, 0.250, 0.386], [0.250, 0.750, 0.614], [0.000, 0.500, 0.500], [0.000, 0.000, 0.000], [0.500, 0.000, 0.500]]}

=====

{"formula": "HgTe2Br", "functional": "PBE-GGA", "state": "optimized geometry", "space_group": "F-43m", "formation_energy_uncorrected_mev_per_atom": 202, "de_polymorph_ev_per_atom": 0.313, "magnetic_moment_mub_per_fu": 0.0, "cell": [[-2.527, -2.248, -4.216], [2.864, -2.447, -3.877], [-0.167, -5.380, -0.496]], "species": ["Te", "Te", "Hg", "Br"], "fractional_positions": [[0.000, 0.000, 0.000], [0.250, 0.250, 0.250], [0.750, 0.750, 0.750], [0.500, 0.500, 0.500]]}

=====

{"formula": "In3HgPb2", "functional": "PBE-GGA", "state": "optimized geometry", "space_group": "Pmma", "e_form_ev_per_fu": 0.325, "magnetic_moment_mub_per_fu": 0.0, "cell": [[5.942, 0.000, 0.000], [0.000, 6.302, 0.000], [0.000, 0.000, 9.287]], "species": ["In", "In", "In", "In", "In", "In", "Hg", "Hg", "Pb", "Pb", "Pb", "Pb"], "fractional_positions": [[0.000, 0.000, 0.000], [0.500, 0.000, 0.000], [0.750, 0.252, 0.275], [0.750, 0.748, 0.275], [0.250, 0.252, 0.725], [0.250, 0.748, 0.725], [0.750, 0.500, 0.571], [0.250, 0.500, 0.429], [0.250, 0.500, 0.088], [0.250, 0.000, 0.344], [0.750, 0.000, 0.656], [0.750, 0.500, 0.912]]}

=====

{"formula": "HfCrH4", "functional": "PBE-GGA", "state": "optimized geometry", "final_energy_ev_per_atom": -5.64, "space_group": "C2/c", "magnetic_moment_mub_per_fu": 0.3, "cell": [[5.264, -0.822, 0.000], [-2.292, 5.079, 0.000], [-1.486, -2.128, 3.997]], "species": ["Hf", "Hf", "Cr", "Cr", "H", "H", "H", "H", "H", "H", "H", "H"], "fractional_positions": [[0.377, 0.627, 0.253], [0.623, 0.373, 0.747], [0.277, 0.027, 0.053], [0.723, 0.973, 0.947], [0.921, 0.260, 0.838], [0.850, 0.807, 0.710], [0.417, 0.579, 0.838], [0.359, 0.903, 0.710], [0.641, 0.097, 0.290], [0.583, 0.421, 0.162], [0.150, 0.193, 0.290], [0.079, 0.740, 0.162]]}

=====

{"formula": "LiSnGeIr", "functional": "PBE-GGA", "state": "optimized geometry", "space_group": "F-43m", "e_form_ev_per_fu": -1.032, "magnetic_moment_mub_per_fu": 0.0, "cell": [[-3.555, 0.617, 2.730], [-2.122, -3.571, 1.794], [0.370, -0.863, 4.426]], "species": ["Ge", "Ir", "Sn", "Li"], "fractional_positions": [[0.000, 0.000, 0.000], [0.250, 0.250, 0.250], [0.500, 0.500, 0.500], [0.750, 0.750, 0.750]]}

=====

{"formula": "Pm2ErAs3Rh4", "functional": "PBE-GGA", "state": "optimized geometry", "space_group": "P-4m2", "e_form_ev_per_fu": -9.750, "magnetic_moment_mub_per_fu": 0.0, "cell": [[4.118, 0.000, 0.000], [0.000, 4.118, 0.000], [0.000, 0.000, 11.412]], "species": ["Pm", "Pm", "Er", "As", "As", "As", "Rh", "Rh", "Rh", "Rh"], "fractional_positions": [[0.500, 0.000, 0.225], [0.000, 0.500, 0.775], [0.500, 0.500, 0.500], [0.000, 0.000, 0.500], [0.500, 0.000, 0.871], [0.000, 0.500, 0.129], [0.500, 0.500, 0.000], [0.000, 0.000, 0.000], [0.500, 0.000, 0.659], [0.000, 0.500, 0.341]]}

=====

{"formula": "BiPd4Pb5", "functional": "PBE-GGA", "state": "optimized geometry", "space_group": "C2/m", "de_polymorph_ev_per_atom": 0.000, "e_form_ev_per_fu": -1.593, "magnetic_moment_mub_per_fu": 0.0, "cell": [[-2.482, 0.053, 4.197], [-5.324, -3.193, -3.108], [4.245, -6.360, -0.243]], "species": ["Bi", "Pd", "Pd", "Pd", "Pd", "Pb", "Pb", "Pb", "Pb", "Pb"], "fractional_positions": [[0.500, 0.000, 0.000], [0.662, 0.754, 0.324], [0.005, 0.265, 0.010], [0.338, 0.246, 0.676], [0.995, 0.735, 0.990], [0.165, 0.012, 0.331], [0.173, 0.509, 0.346], [0.827, 0.491, 0.654], [0.500, 0.500, 0.000], [0.835, 0.988, 0.669]]}

=====

{"formula": "TbInCuNi", "functional": "PBE-GGA", "state": "optimized geometry", "space_group": "F-43m", "e_form_ev_per_fu": -1.272, "magnetic_moment_mub_per_fu": 0.0, "cell": [[-4.323, 1.586, -0.771], [-2.912, -2.400, -2.750], [-3.666, -2.218, 1.854]], "species": ["Ni", "Tb", "Cu", "In"], "fractional_positions": [[0.000, 0.000, 0.000], [0.750, 0.750, 0.750], [0.500, 0.500, 0.500], [0.250, 0.250, 0.250]]}

=====

{"formula": "AsCl", "functional": "PBE-GGA", "state": "optimized geometry", "space_group": "Pnma", "formation_energy_uncorrected_mev_per_atom": -123, "magnetic_moment_mub_per_fu": 0.0, "cell": [[4.928, 0.000, 0.000], [0.000, 8.139, 0.000], [0.000, 0.000, 7.951]], "species": ["As", "As", "As", "As", "Cl", "Cl", "Cl", "Cl"], "fractional_positions": [[0.126, 0.750, 0.770], [0.374, 0.250, 0.270], [0.626, 0.750, 0.730], [0.874, 0.250, 0.230], [0.127, 0.750, 0.046], [0.373, 0.250, 0.546], [0.627, 0.750, 0.454], [0.873, 0.250, 0.954]]}

=====

{"formula": "BaLi2Ag2", "functional": "PBE-GGA", "state": "optimized geometry", "space_group": "P4/mbm", "de_polymorph_ev_per_atom": 0.151, "e_form_ev_per_fu": -0.247, "magnetic_moment_mub_per_fu": 0.0, "cell": [[-5.910, 1.487, 5.656], [4.965, -2.973, 5.970], [1.310, 3.232, 0.520]], "species": ["Ba", "Ba", "Ag", "Ag", "Ag", "Ag", "Li", "Li", "Li", "Li"], "fractional_positions": [[0.000, 0.000, 0.000], [0.500, 0.500, 0.000], [0.373, 0.873, 0.000], [0.873, 0.627, 0.000], [0.627, 0.127, 0.000], [0.127, 0.373, 0.000], [0.136, 0.636, 0.500], [0.636, 0.864, 0.500], [0.864, 0.364, 0.500], [0.364, 0.136, 0.500]]}

=====

{"formula": "ErNp2ScSe4", "functional": "PBE-GGA", "state": "optimized geometry", "space_group": "P2/m", "formation_energy_uncorrected_mev_per_atom": -1361, "magnetic_moment_mub_per_fu": 9.1, "cell": [[-0.507, -1.928, 3.476], [-5.287, -3.568, -2.750], [5.988, -3.539, -1.090]], "species": ["Er", "Np", "Np", "Sc", "Se", "Se", "Se", "Se"], "fractional_positions": [[0.500, 0.500, 0.000], [0.500, 0.000, 0.500], [0.000, 0.500, 0.500], [0.000, 0.000, 0.000], [0.500, 0.240, 0.236], [0.500, 0.760, 0.764], [0.000, 0.248, 0.761], [0.000, 0.752, 0.239]]}

=====

{"formula": "Mg8In2Ga", "functional": "PBE-GGA", "state": "optimized geometry", "space_group": "Immm", "e_form_ev_per_fu": -0.686, "magnetic_moment_mub_per_fu": 0.0, "cell": [[-0.475, 4.133, -2.744], [3.665, -2.762, -4.793], [-7.816, -3.487, 0.626]], "species": ["Mg", "Mg", "Mg", "Mg", "Mg", "Mg", "Mg", "Mg", "In", "In", "Ga"], "fractional_positions": [[0.359, 0.599, 0.717], [0.642, 0.882, 0.283], [0.820, 0.820, 0.640], [0.000, 0.253, 0.000], [0.180, 0.180, 0.360], [0.358, 0.118, 0.717], [0.641, 0.401, 0.283], [0.000, 0.747, 0.000], [0.820, 0.320, 0.639], [0.180, 0.680, 0.361], [0.500, 0.000, 0.000]]}

=====

{"formula": "Tb2EuCd", "functional": "PBE-GGA", "state": "optimized geometry", "space_group": "R-3m", "de_polymorph_ev_per_atom": 0.207, "e_form_ev_per_fu": 0.477, "magnetic_moment_mub_per_fu": 8.1, "cell": [[3.548, 0.000, 0.000], [1.774, 3.073, 0.000], [1.774, 1.024, 11.965]], "species": ["Eu", "Tb", "Tb", "Cd"], "fractional_positions": [[0.000, 0.000, 0.000], [0.097, 0.097, 0.709], [0.903, 0.903, 0.291], [0.500, 0.500, 0.500]]}

=====

{"formula": "ErInIrRu", "functional": "PBE-GGA", "state": "optimized geometry", "space_group": "F-43m", "e_form_ev_per_fu": -1.533, "magnetic_moment_mub_per_fu": 0.0, "cell": [[4.676, 0.000, 0.000], [2.338, 4.050, 0.000], [2.338, 1.350, 3.818]], "species": ["Ru", "Ir", "In", "Er"], "fractional_positions": [[0.250, 0.250, 0.250], [0.750, 0.750, 0.750], [0.000, 0.000, 0.000], [0.500, 0.500, 0.500]]}

=====

{"formula": "KSmTl2", "functional": "PBE-GGA", "state": "optimized geometry", "space_group": "Fm-3m", "de_polymorph_ev_per_atom": 0.111, "e_form_ev_per_fu": -0.404, "magnetic_moment_mub_per_fu": 0.0, "cell": [[5.629, 0.000, 0.000], [2.815, 4.875, 0.000], [2.815, 1.625, 4.596]], "species": ["Tl", "Tl", "K", "Sm"], "fractional_positions": [[0.250, 0.250, 0.250], [0.750, 0.750, 0.750], [0.500, 0.500, 0.500], [0.000, 0.000, 0.000]]}

=====

{"formula": "As3Pb2", "functional": "PBE-GGA", "state": "optimized geometry", "space_group": "Fdd2", "de_polymorph_ev_per_atom": 0.088, "e_form_ev_per_fu": 0.734, "magnetic_moment_mub_per_fu": 0.0, "cell": [[0.000, 5.334, 7.751], [3.080, 0.000, 7.751], [3.080, 5.334, 0.000]], "species": ["As", "As", "As", "As", "As", "As", "Pb", "Pb", "Pb", "Pb"], "fractional_positions": [[0.401, 0.830, 0.456], [0.313, 0.456, 0.830], [0.420, 0.849, 0.937], [0.794, 0.937, 0.849], [0.053, 0.947, 0.947], [0.303, 0.197, 0.197], [0.819, 0.261, 0.507], [0.413, 0.507, 0.261], [0.989, 0.431, 0.837], [0.743, 0.837, 0.431]]}

=====

{"formula": "AgSb2Se", "functional": "PBE-GGA", "state": "optimized geometry", "space_group": "I4/mmm", "formation_energy_uncorrected_mev_per_atom": 253, "magnetic_moment_mub_per_fu": 0.0, "cell": [[-1.994, -2.526, 4.868], [3.480, -4.100, 2.265], [0.702, 5.492, -1.843]], "species": ["Ag", "Sb", "Sb", "Se"], "fractional_positions": [[0.750, 0.250, 0.500], [0.000, 0.000, 0.000], [0.500, 0.500, 0.000], [0.250, 0.750, 0.500]]}

=====

{"formula": "K2TaOs", "functional": "PBE-GGA", "state": "optimized geometry", "space_group": "Cmmm", "de_polymorph_ev_per_atom": 0.735, "e_form_ev_per_fu": 5.338, "magnetic_moment_mub_per_fu": 0.0, "cell": [[2.831, -0.072, 0.000], [-1.240, 2.546, 0.000], [0.000, 0.000, 12.400]], "species": ["K", "K", "Os", "Ta"], "fractional_positions": [[0.000, 0.000, 0.021], [0.000, 0.000, 0.479], [0.500, 0.500, 0.250], [0.500, 0.500, 0.750]]}

=====

{"formula": "NdEr4Hg", "functional": "PBE-GGA", "state": "optimized geometry", "space_group": "C2/c", "de_polymorph_ev_per_atom": 0.093, "e_form_ev_per_fu": -0.283, "magnetic_moment_mub_per_fu": 0.0, "cell": [[-4.828, -3.111, -2.616], [7.772, -4.263, -0.983], [-2.557, 0.327, 7.796]], "species": ["Nd", "Nd", "Er", "Er", "Er", "Er", "Er", "Er", "Er", "Er", "Hg", "Hg"], "fractional_positions": [[0.347, 0.597, 0.194], [0.653, 0.403, 0.806], [0.034, 0.164, 0.767], [0.760, 0.713, 0.625], [0.232, 0.602, 0.767], [0.365, 0.912, 0.625], [0.635, 0.088, 0.375], [0.768, 0.398, 0.233], [0.240, 0.287, 0.375], [0.966, 0.836, 0.233], [0.250, 0.000, 0.001], [0.750, 0.000, 0.999]]}

=====

{"formula": "Ac2BiPt", "functional": "PBE-GGA", "state": "optimized geometry", "space_group": "P4/mmm", "de_polymorph_ev_per_atom": 0.066, "e_form_ev_per_fu": -3.436, "magnetic_moment_mub_per_fu": 0.0, "cell": [[3.881, 0.000, 0.000], [0.000, 3.881, 0.000], [0.000, 0.000, 8.375]], "species": ["Ac", "Ac", "Bi", "Pt"], "fractional_positions": [[0.000, 0.000, 0.784], [0.000, 0.000, 0.216], [0.500, 0.500, 0.500], [0.500, 0.500, 0.000]]}